DFT (PBE+U) results for a relaxed structure of Ca4MgSi8Ni3O24.

Calculated values
- mass density (g/cm3) = 3.56
- E_tot (eV/atom) = -7.155

Structure (extended XYZ):
```
40
Lattice="-2.4790 -5.7085 2.4264 5.8631 -2.3482 2.1748 -0.5282 2.0891 10.3883" Properties=species:S:1:pos:R:3 pbc="T T T"
Ca 3.1158 -2.3039 7.4439
Ca 3.3861 -3.3460 2.2495
Ca -0.1272 -4.1800 4.9324
Ca -0.3865 -3.1450 10.1588
Mg -1.9814 -4.3572 7.5976
Si 1.3745 -5.0371 8.3944
Si 1.1156 -3.9921 13.5837
Si -0.0793 -1.5592 6.6422
Si 0.1892 -2.6003 1.4526
Si 1.6101 -1.4507 3.9968
Si 1.3422 -0.4113 9.1950
Si 3.0599 -4.9336 5.7479
Si 2.8022 -3.8900 10.9458
Ni -1.7176 -5.4018 2.4035
Ni 4.9648 -2.1334 4.7937
Ni 4.7016 -1.0909 9.9905
O 2.0247 -6.4850 8.7296
O 1.7654 -5.4413 13.9220
O -0.6317 -0.0719 6.3041
O -0.3646 -1.1125 1.1114
O 0.9651 -0.0011 3.6653
O 0.6941 1.0400 8.8593
O 3.6162 -6.4219 6.0864
O 3.3594 -5.3750 11.2800
O -0.2100 -4.8563 8.5561
O 0.0558 -5.9140 3.3642
O -1.1023 -2.7904 6.5591
O -1.3746 -1.7353 11.7512
O 3.1971 -1.6242 3.8255
O 2.9307 -0.5768 9.0265
O 4.0968 -3.7105 5.8372
O 3.8327 -2.6622 11.0382
O 1.8578 -4.5111 6.8710
O 1.5900 -3.4651 12.0617
O 0.9744 -2.6200 2.9367
O 0.7118 -1.5719 8.1272
O 1.1325 -1.9773 5.5208
O 0.8654 -0.9359 10.7187
O 2.0149 -3.8729 9.4599
O 2.2745 -4.9173 4.2623
```